The following is a PBE+U calculation of crystalline K4Ni3O6 at its relaxed geometry, from Alexandria.

Values from the calculation:
**Magnetic moment**: 2.00 μB/f.u.
**Raw total energy**: -4.30 eV/atom

a = 9.049 Å, b = 6.147 Å, c = 7.817 Å
α = 90.00°, β = 92.13°, γ = 90.00°
Space group C2/m (No. 12)
Inequivalent atoms, fractional coordinates:
K (0.148, 0.000, 0.388) x4
K (0.180, 0.000, 0.879) x4
Ni (0.000, 0.500, 0.500) x2
Ni (0.038, 0.500, 0.830) x4
O (0.000, 0.302, 0.000) x4
O (0.075, 0.300, 0.656) x8